The following is a GGA-PBE calculation of an optimized crystal structure of In2GePd5, from the Alexandria database.

Calculated values
The total energy comes out at -80.228 eV/cell. The crystal system is orthorhombic. For the energy of formation, the calculation gives -0.5070 eV/atom. Its energy above the most stable polymorph in this dataset is 0.0000 eV/atom. The symmetry is Pbam, No. 55.

POSCAR file:
```
In2GePd5
1.0
5.645 0.000 0.000
0.000 11.006 0.000
0.000 0.000 4.282
In Ge Pd
4 2 10
Direct
0.150 0.151 0.000
0.350 0.651 0.000
0.650 0.349 0.000
0.850 0.849 0.000
0.000 0.500 0.500
0.500 0.000 0.500
0.000 0.000 0.500
0.075 0.727 0.500
0.178 0.406 0.000
0.322 0.906 0.000
0.425 0.227 0.500
0.500 0.500 0.500
0.575 0.773 0.500
0.678 0.094 0.000
0.822 0.594 0.000
0.925 0.273 0.500
```